Hf2TlSb2 (GGA-PBE, relaxed); spin magnetization = 0.00 μB per formula unit; total energy = -6.16 eV/atom; SG = I4/mmm, No. 139; raw formation energy = -0.058 eV/atom; offset from the most stable computed form = 0.210 eV per atom
1.0
-2.3463 2.3463 6.5343
2.3463 -2.3463 6.5343
2.3463 2.3463 -6.5343
Hf Tl Sb
2 1 2
Cartesian
2.3463 0.0000 3.2672
0.0000 2.3463 3.2672
0.0000 0.0000 0.0000
0.0000 0.0000 4.9271
0.0000 0.0000 8.1416

=====

CaCoNi (GGA-PBE, relaxed); energy of formation = 0.225 eV/atom; spin magnetization = 1.83 μB per formula unit; total energy = -4.74 eV/atom; SG = Imm2, No. 44; offset from the most stable computed form = 0.125 eV per atom
1.0
-1.4467 1.7640 4.9625
1.4467 -1.7640 4.9625
1.4467 1.7640 -4.9625
Ca Co Ni
1 1 1
Cartesian
0.0000 0.0000 0.0000
0.0000 0.0000 7.0903
0.0000 0.0000 2.8580

=====

YZnCo2Se (GGA-PBE, relaxed); spin magnetization = 1.29 μB per formula unit; total energy = -4.86 eV/atom; SG = P4/mmm, No. 123; raw formation energy = 0.226 eV/atom
1.0
4.3644 0.0000 0.0000
0.0000 4.3644 0.0000
0.0000 0.0000 4.9105
Y Zn Co Se
1 1 2 1
Cartesian
0.0000 0.0000 0.0000
2.1822 2.1822 0.0000
0.0000 2.1822 2.4553
2.1822 0.0000 2.4553
2.1822 2.1822 2.4553

=====

VFeTe2N (GGA-PBE, relaxed); spin magnetization = 3.90 μB per formula unit; total energy = -6.01 eV/atom; SG = P4/mmm, No. 123; raw formation energy = 0.430 eV/atom; offset from the most stable computed form = 0.106 eV per atom
1.0
5.3545 0.0000 0.0000
0.0000 5.3545 0.0000
0.0000 0.0000 3.6029
V Fe Te N
1 1 2 1
Cartesian
0.0000 0.0000 0.0000
2.6772 2.6772 1.8015
0.0000 2.6772 0.0000
2.6772 0.0000 0.0000
0.0000 0.0000 1.8015

=====

Hf2Tl3PdSe6 (GGA-PBE, relaxed); spin magnetization = 0.00 μB per formula unit; total energy = -5.21 eV/atom; SG = C2/m, No. 12; raw formation energy = -0.780 eV/atom
1.0
3.3656 -5.8288 0.0000
3.3656 5.8288 0.0000
-2.1136 0.0000 7.9122
Hf Tl Pd Se
2 3 1 6
Cartesian
3.3656 3.8636 0.0000
3.3656 -3.8636 0.0000
-1.0568 0.0000 3.9561
2.3088 1.8978 3.9561
2.3088 -1.8978 3.9561
3.3656 0.0000 0.0000
0.0753 1.9915 6.3558
1.1421 0.0000 1.4622
0.0753 -1.9915 6.3558
4.5424 1.9915 1.5564
3.4756 0.0000 6.4501
4.5424 -1.9915 1.5564

=====

InCu2Sn (GGA-PBE, relaxed); energy of formation = 0.156 eV/atom; spin magnetization = 0.00 μB per formula unit; total energy = -3.58 eV/atom; SG = R-3m, No. 166
1.0
2.2394 1.2929 4.4354
-2.2394 1.2929 4.4354
0.0000 -2.5858 4.4354
In Cu Sn
1 2 1
Cartesian
0.0000 0.0000 0.0000
0.0000 0.0000 3.7944
0.0000 0.0000 9.5118
0.0000 0.0000 6.6531

=====

Th2ZnCu (GGA-PBE, relaxed); energy of formation = 0.370 eV/atom; spin magnetization = 0.00 μB per formula unit; total energy = -4.68 eV/atom; SG = R-3m, No. 166
1.0
1.7005 0.9818 10.8898
-1.7005 0.9818 10.8898
0.0000 -1.9636 10.8898
Th Zn Cu
2 1 1
Cartesian
0.0000 0.0000 3.1920
0.0000 0.0000 29.4775
0.0000 0.0000 0.0000
0.0000 0.0000 16.3347